ZnPb2W after structural relaxation, computed with PBE.

Lattice parameters (Å, degrees): 3.0332 3.4116 9.0403 90.00 90.00 90.00
Atoms (fractional coordinates):
Pb: 0.0000 0.0000 0.9314
Pb: 0.5000 0.5000 0.3117
W: 0.0000 0.0000 0.5501
Zn: 0.5000 0.5000 0.7068

Calculated values
Calculated formation energy   588 meV per atom
V   93.5 Å³ per cell
Space group   Pmm2

***

ZnPbW3 after structural relaxation, computed with PBE.

Lattice parameters (Å, degrees): 4.9973 4.9973 4.9973 90.00 90.00 90.00
Atoms (fractional coordinates):
Pb: 0.0000 0.0000 0.0000
Zn: 0.5000 0.5000 0.5000
W: 0.0000 0.5000 0.0000
W: 0.0000 0.0000 0.5000
W: 0.5000 0.0000 0.0000

Calculated values
Calculated formation energy   3221 meV per atom
V   124.8 Å³ per cell
Space group   Pm-3m
E above lowest polymorph   1260 meV/atom

***

ZnPbW3 after structural relaxation, computed with PBE.

Lattice parameters (Å, degrees): 4.6318 4.6318 4.6318 90.00 90.00 90.00
Atoms (fractional coordinates):
Pb: 0.5000 0.5000 0.5000
Zn: 0.0000 0.0000 0.0000
W: 0.0000 0.5000 0.0000
W: 0.0000 0.0000 0.5000
W: 0.5000 0.0000 0.0000

Calculated values
Calculated formation energy   1962 meV per atom
V   99.4 Å³ per cell
Space group   Pm-3m
E above lowest polymorph   0 meV/atom

***

ZnPb2W after structural relaxation, computed with PBE.

Lattice parameters (Å, degrees): 6.6433 6.6433 7.4876 63.66 63.66 90.00
Atoms (fractional coordinates):
Pb: 0.6405 0.1250 0.2500
Pb: 0.1095 0.6250 0.2500
Pb: 0.3750 0.3595 0.7500
Pb: 0.8750 0.8905 0.7500
Zn: 0.5000 0.5000 0.0000
Zn: 0.2500 0.7500 0.5000
W: 0.0000 0.0000 0.0000
W: 0.7500 0.2500 0.5000

Calculated values
Calculated formation energy   1388 meV per atom
V   257.3 Å³ per cell
Space group   I-42d

***

ZrPbW after structural relaxation, computed with PBE.

Lattice parameters (Å, degrees): 4.9843 4.9843 2.9241 90.00 90.00 120.00
Atoms (fractional coordinates):
Pb: 0.0000 0.0000 0.1661
W: 0.3333 0.6667 0.1669
Zr: 0.6667 0.3333 0.6670

Calculated values
Calculated formation energy   482 meV per atom
V   62.9 Å³ per cell
Space group   P-6m2
E above lowest polymorph   148 meV/atom

***

ZrPbW after structural relaxation, computed with PBE.

Lattice parameters (Å, degrees): 7.5073 7.2618 3.1316 82.19 73.40 24.41
Atoms (fractional coordinates):
Pb: 0.9944 0.9944 0.0056
W: 0.3283 0.3283 0.6717
Zr: 0.6774 0.6774 0.3226

Calculated values
Calculated formation energy   412 meV per atom
V   64.2 Å³ per cell
Space group   Fmm2
E above lowest polymorph   78 meV/atom

***

ZrPbW after structural relaxation, computed with PBE.

Lattice parameters (Å, degrees): 4.7111 4.7111 4.7111 60.00 60.00 60.00
Atoms (fractional coordinates):
Pb: 0.5000 0.5000 0.5000
W: 0.7500 0.7500 0.7500
Zr: 0.0000 0.0000 0.0000

Calculated values
Calculated formation energy   911 meV per atom
V   73.9 Å³ per cell
Space group   F-43m
E above lowest polymorph   577 meV/atom

***

ZrPbW4 after structural relaxation, computed with PBE.

Lattice parameters (Å, degrees): 5.4321 5.4321 5.4321 60.00 60.00 60.00
Atoms (fractional coordinates):
Zr: 0.7500 0.7500 0.7500
Pb: 0.0000 0.0000 0.0000
W: 0.8760 0.3747 0.3747
W: 0.3747 0.3747 0.8760
W: 0.3747 0.8760 0.3747
W: 0.3747 0.3747 0.3747

Calculated values
Calculated formation energy   340 meV per atom
V   113.3 Å³ per cell
Space group   F-43m

***

ZrPbW3 after structural relaxation, computed with PBE.

Lattice parameters (Å, degrees): 4.9071 4.9071 4.9071 90.00 90.00 90.00
Atoms (fractional coordinates):
Pb: 0.5000 0.5000 0.5000
Zr: 0.0000 0.0000 0.0000
W: 0.0000 0.5000 0.0000
W: 0.0000 0.0000 0.5000
W: 0.5000 0.0000 0.0000

Calculated values
Calculated formation energy   2445 meV per atom
V   118.2 Å³ per cell
Space group   Pm-3m
E above lowest polymorph   0 meV/atom

***

ZrPbW after structural relaxation, computed with PBE.

Lattice parameters (Å, degrees): 3.1068 3.1068 7.6288 90.00 90.00 120.00
Atoms (fractional coordinates):
Pb: 0.0000 0.0000 0.0115
W: 0.6667 0.3333 0.3312
Zr: 0.3333 0.6667 0.6572

Calculated values
Calculated formation energy   650 meV per atom
V   63.8 Å³ per cell
Space group   P3m1
E above lowest polymorph   316 meV/atom

***

ZrPbW after structural relaxation, computed with PBE.

Lattice parameters (Å, degrees): 5.3825 5.3825 5.3825 140.68 140.68 56.82
Atoms (fractional coordinates):
Pb: 0.9953 0.9953 0.0000
W: 0.3266 0.3266 0.0000
Zr: 0.6780 0.6780 0.0000

Calculated values
Calculated formation energy   335 meV per atom
V   62.1 Å³ per cell
Space group   I4mm
E above lowest polymorph   0 meV/atom

***

ZrPbW3 after structural relaxation, computed with PBE.

Lattice parameters (Å, degrees): 4.9602 4.9602 4.9602 90.00 90.00 90.00
Atoms (fractional coordinates):
Pb: 0.0000 0.0000 0.0000
Zr: 0.5000 0.5000 0.5000
W: 0.0000 0.5000 0.0000
W: 0.0000 0.0000 0.5000
W: 0.5000 0.0000 0.0000

Calculated values
Calculated formation energy   2709 meV per atom
V   122.0 Å³ per cell
Space group   Pm-3m
E above lowest polymorph   264 meV/atom